Record 1
Density functional theory data (PBE) for an optimized crystal structure of CsLaNbN3.

Unit cell a=7.418 b=7.418 c=8.784 alpha=104.24 beta=104.24 gamma=32.15
Positions (direct):
Cs1 0.145 0.145 0.064
Cs2 0.855 0.855 0.936
La1 0.160 0.160 0.580
La2 0.840 0.840 0.420
Nb1 0.491 0.491 0.678
Nb2 0.509 0.509 0.322
N1 0.012 0.012 0.340
N2 0.340 0.340 0.610
N3 0.367 0.367 0.241
N4 0.633 0.633 0.759
N5 0.660 0.660 0.390
N6 0.988 0.988 0.660

Space group: C2/m
Raw total energy: -7.31 eV per atom
Mass density: 5.43 Mg/m³
Formation energy without anion corrections: -0.510 eV/atom

Record 2
Density functional theory data (PBE) for an optimized crystal structure of RbBa2P.

Unit cell a=4.090 b=4.090 c=12.041 alpha=90.00 beta=90.00 gamma=90.00
Positions (direct):
Rb1 0.000 0.000 0.000
Ba1 0.500 0.500 0.360
Ba2 0.500 0.500 0.640
P1 0.000 0.000 0.500

Space group: P4/mmm
Raw total energy: -3.04 eV per atom
Mass density: 3.22 Mg/m³
Energy of formation from the pure elements: -487.7 meV per atom

Record 3
Density functional theory data (PBE) for an optimized crystal structure of La2YHPb.

Unit cell a=4.742 b=4.742 c=5.728 alpha=90.00 beta=90.00 gamma=90.00
Positions (direct):
La1 0.000 0.500 0.000
La2 0.500 0.000 0.000
Y1 0.000 0.000 0.500
H1 0.500 0.500 0.000
Pb1 0.500 0.500 0.500

Space group: P4/mmm
Raw total energy: -5.04 eV per atom
Relative energy among the computed polymorphs: 68 meV per atom
Mass density: 7.41 Mg/m³

Record 4
Density functional theory data (PBE) for an optimized crystal structure of RbPm2AsO5.

Unit cell a=7.755 b=7.755 c=7.755 alpha=127.63 beta=127.63 gamma=77.23
Positions (direct):
Rb1 0.250 0.250 0.000
Rb2 0.750 0.750 0.000
Pm1 0.179 0.679 0.858
Pm2 0.321 0.179 0.500
Pm3 0.679 0.821 0.500
Pm4 0.821 0.321 0.142
As1 0.250 0.750 0.500
As2 0.750 0.250 0.500
O1 0.000 0.000 0.000
O2 0.014 0.240 0.500
O3 0.240 0.740 0.226
O4 0.260 0.486 0.500
O5 0.486 0.986 0.226
O6 0.500 0.500 0.000
O7 0.514 0.014 0.774
O8 0.740 0.514 0.500
O9 0.760 0.260 0.774
O10 0.986 0.760 0.500

Space group: I4/mcm
Raw total energy: -6.71 eV per atom
Mass density: 6.21 Mg/m³
Formation energy without anion corrections: -2.275 eV/atom

Record 5
Density functional theory data (PBE) for an optimized crystal structure of MgAl2Si.

Unit cell a=6.122 b=6.122 c=6.122 alpha=100.57 beta=100.57 gamma=129.27
Positions (direct):
Mg1 0.000 0.000 0.000
Mg2 0.750 0.250 0.500
Al1 0.190 0.625 0.065
Al2 0.375 0.440 0.565
Al3 0.560 0.125 0.935
Al4 0.875 0.810 0.435
Si1 0.250 0.750 0.500
Si2 0.500 0.500 0.000

Space group: I-42d
Raw total energy: -3.46 eV per atom
Mass density: 2.20 Mg/m³
Formation energy without anion corrections: 0.162 eV/atom

Record 6
Density functional theory data (PBE) for an optimized crystal structure of CaAs3Rh.

Unit cell a=5.193 b=5.193 c=5.193 alpha=90.00 beta=90.00 gamma=90.00
Positions (direct):
Ca1 0.000 0.000 0.000
As1 0.000 0.000 0.500
As2 0.000 0.500 0.000
As3 0.500 0.000 0.000
Rh1 0.500 0.500 0.500

Space group: Pm-3m
Raw total energy: -3.38 eV per atom
Relative energy among the computed polymorphs: 1372 meV per atom
Mass density: 4.36 Mg/m³
Energy of formation from the pure elements: 1283.7 meV per atom

Record 7
Density functional theory data (PBE) for an optimized crystal structure of Pm12Mg2Ga5.

Unit cell a=8.737 b=8.737 c=9.199 alpha=92.01 beta=92.01 gamma=53.87
Positions (direct):
Pm1 0.035 0.035 0.185
Pm2 0.093 0.546 0.643
Pm3 0.097 0.619 0.066
Pm4 0.381 0.903 0.934
Pm5 0.443 0.443 0.321
Pm6 0.454 0.907 0.357
Pm7 0.546 0.093 0.643
Pm8 0.557 0.557 0.679
Pm9 0.619 0.097 0.066
Pm10 0.903 0.381 0.934
Pm11 0.907 0.454 0.357
Pm12 0.965 0.965 0.815
Mg1 0.176 0.824 0.500
Mg2 0.824 0.176 0.500
Ga1 0.148 0.148 0.633
Ga2 0.236 0.236 0.164
Ga3 0.500 0.500 0.000
Ga4 0.764 0.764 0.836
Ga5 0.852 0.852 0.367

Space group: C2/m
Raw total energy: -4.10 eV per atom
Mass density: 6.26 Mg/m³
Energy of formation from the pure elements: -133.7 meV per atom

Record 8
Density functional theory data (PBE) for an optimized crystal structure of CoPtS.

Unit cell a=3.481 b=3.481 c=9.783 alpha=100.14 beta=100.14 gamma=60.11
Positions (direct):
Co1 0.244 0.244 0.229
Co2 0.756 0.756 0.771
Pt1 0.364 0.364 0.593
Pt2 0.636 0.636 0.407
S1 0.445 0.445 0.838
S2 0.555 0.555 0.162

Space group: C2/m
Raw total energy: -5.83 eV per atom
Mass density: 9.44 Mg/m³
Formation energy without anion corrections: -0.077 eV/atom

Record 9
Density functional theory data (PBE) for an optimized crystal structure of KCrSi.

Unit cell a=4.843 b=4.843 c=4.843 alpha=60.00 beta=60.00 gamma=60.00
Positions (direct):
K1 0.000 0.000 0.000
Cr1 0.500 0.500 0.500
Si1 0.750 0.750 0.750

Space group: F-43m
Raw total energy: -4.41 eV per atom
Relative energy among the computed polymorphs: 611 meV per atom
Mass density: 2.46 Mg/m³
Formation energy without anion corrections: 0.971 eV/atom

Record 10
Density functional theory data (PBE) for an optimized crystal structure of LaRuO3.

Unit cell a=3.961 b=3.961 c=3.961 alpha=90.00 beta=90.00 gamma=90.00
Positions (direct):
La1 0.000 0.000 0.000
Ru1 0.500 0.500 0.500
O1 0.000 0.500 0.500
O2 0.500 0.000 0.500
O3 0.500 0.500 0.000

Space group: Pm-3m
Raw total energy: -7.74 eV per atom
Mass density: 7.70 Mg/m³
Formation energy without anion corrections: -1.925 eV/atom

Record 11
Density functional theory data (PBE) for an optimized crystal structure of GaPtW3.

Unit cell a=4.554 b=4.554 c=4.554 alpha=90.00 beta=90.00 gamma=90.00
Positions (direct):
Ga1 0.000 0.000 0.000
Pt1 0.500 0.500 0.500
W1 0.000 0.000 0.500
W2 0.000 0.500 0.000
W3 0.500 0.000 0.000

Space group: Pm-3m
Raw total energy: -7.84 eV per atom
Relative energy among the computed polymorphs: 0 meV per atom
Mass density: 14.35 Mg/m³
Energy of formation from the pure elements: 1746.8 meV per atom

Record 12
Density functional theory data (PBE) for an optimized crystal structure of K2RbS.

Unit cell a=9.588 b=9.588 c=9.588 alpha=31.17 beta=31.17 gamma=31.17
Positions (direct):
K1 0.000 0.000 0.000
K2 0.253 0.253 0.253
Rb1 0.765 0.765 0.765
S1 0.638 0.638 0.638

Space group: R3m
Raw total energy: -2.52 eV per atom
Mass density: 1.55 Mg/m³
Formation energy without anion corrections: -0.694 eV/atom